1.
Crystalline Tb2Ga3HgPt4 at its relaxed geometry. Source: Alexandria via LeMat-Bulk, functional PBE.

Properties
For the total moment, the calculation gives 0.00 Bohr magnetons per cell. For the formation enthalpy at 0 K, the calculation gives -0.8409 eV/atom. The symmetry is P-4m2, No. 115.

Lattice parameters (Å, degrees): 4.0648 4.0648 11.8036 90.00 90.00 90.00
Closest atoms and distances in Å follow each position.
Fractional coordinates of all 10 atoms:
1 Pt 0.5000 0.5000 0.0000  4 Ga 2.53
2 Tb 0.0000 0.5000 0.7510  4 Pt 3.05, 4 Ga 3.21
3 Pt 0.0000 0.0000 0.0000  4 Ga 2.53
4 Pt 0.5000 0.0000 0.6656  1 Ga 2.44
5 Ga 0.0000 0.5000 0.1278  5 Pt 2.44-2.53
6 Ga 0.5000 0.0000 0.8722  5 Pt 2.44-2.53
7 Pt 0.0000 0.5000 0.3344  1 Ga 2.44
8 Tb 0.5000 0.0000 0.2490  4 Pt 3.05, 4 Ga 3.21
9 Hg 0.5000 0.5000 0.5000  4 Pt 2.82, 4 Ga 2.87
10 Ga 0.0000 0.0000 0.5000  4 Pt 2.82, 4 Hg 2.87


2.
Crystalline Th2Ga3HgPt4 at its relaxed geometry. Source: Alexandria via LeMat-Bulk, functional PBE.

Properties
For the total moment, the calculation gives 0.00 Bohr magnetons per cell. For the formation enthalpy at 0 K, the calculation gives -0.8398 eV/atom. The symmetry is P-4m2, No. 115.

Lattice parameters (Å, degrees): 4.1192 4.1192 11.8287 90.00 90.00 90.00
Closest atoms and distances in Å follow each position.
Fractional coordinates of all 10 atoms:
1 Pt 0.5000 0.5000 0.0000  4 Ga 2.53
2 Pt 0.5000 0.0000 0.6660  1 Ga 2.48
3 Th 0.0000 0.5000 0.7585  4 Pt 3.11, 4 Ga 3.22
4 Hg 0.5000 0.5000 0.5000  4 Pt 2.85, 4 Ga 2.91
5 Ga 0.5000 0.0000 0.8754  5 Pt 2.48-2.53
6 Th 0.5000 0.0000 0.2415  4 Pt 3.11, 4 Ga 3.22
7 Ga 0.0000 0.5000 0.1246  5 Pt 2.48-2.53
8 Pt 0.0000 0.5000 0.3340  1 Ga 2.48
9 Pt 0.0000 0.0000 0.0000  4 Ga 2.53
10 Ga 0.0000 0.0000 0.5000  4 Pt 2.85, 4 Hg 2.91


3.
Crystalline TlGa2HgPt at its relaxed geometry. Source: Alexandria via LeMat-Bulk, functional PBE.

Properties
For the total moment, the calculation gives 0.00 Bohr magnetons per cell. For the formation enthalpy at 0 K, the calculation gives -0.1570 eV/atom. As for the offset from the most stable computed form: 0.003 eV/atom. The symmetry is P4/mmm, No. 123.

Lattice parameters (Å, degrees): 4.8437 4.8437 5.6445 90.00 90.00 90.00
Closest atoms and distances in Å follow each position.
Fractional coordinates of all 5 atoms:
1 Ga 0.0000 0.5000 0.0000  2 Pt 2.42
2 Hg 0.5000 0.5000 0.5000  4 Tl 3.43, 8 Ga 3.72
3 Pt 0.0000 0.0000 0.0000  4 Ga 2.42
4 Tl 0.0000 0.0000 0.5000  2 Pt 2.82
5 Ga 0.5000 0.0000 0.0000  2 Pt 2.42


4.
Crystalline Tl2GaHgPt at its relaxed geometry. Source: Alexandria via LeMat-Bulk, functional PBE.

Properties
For the total moment, the calculation gives 0.00 Bohr magnetons per cell. For the formation enthalpy at 0 K, the calculation gives -0.0827 eV/atom. The symmetry is P4/mmm, No. 123.

Lattice parameters (Å, degrees): 5.4424 5.4424 4.8621 90.00 90.00 90.00
Closest atoms and distances in Å follow each position.
Fractional coordinates of all 5 atoms:
1 Tl 0.5000 0.0000 0.0000  2 Pt 2.72
2 Hg 0.5000 0.5000 0.5000  8 Tl 3.65, 4 Ga 3.85
3 Ga 0.0000 0.0000 0.5000  2 Pt 2.43
4 Pt 0.0000 0.0000 0.0000  2 Ga 2.43, 4 Tl 2.72
5 Tl 0.0000 0.5000 0.0000  2 Pt 2.72


5.
Crystalline TlGaHgPt2 at its relaxed geometry. Source: Alexandria via LeMat-Bulk, functional PBE.

Properties
For the total moment, the calculation gives 0.00 Bohr magnetons per cell. For the formation enthalpy at 0 K, the calculation gives 0.7423 eV/atom. The symmetry is P4/mmm, No. 123.

Lattice parameters (Å, degrees): 5.1964 4.9542 5.1964 90.00 90.00 90.00
Closest atoms and distances in Å follow each position.
Fractional coordinates of all 5 atoms:
1 Tl 0.5000 0.5000 0.5000  8 Pt 3.59, 4 Ga 3.67
2 Hg 0.0000 0.0000 0.0000  2 Ga 2.48, 4 Pt 2.60
3 Pt 0.0000 0.0000 0.5000  2 Hg 2.60
4 Ga 0.0000 0.5000 0.0000  2 Hg 2.48
5 Pt 0.5000 0.0000 0.0000  2 Hg 2.60


6.
Crystalline TlGa2HgPt at its relaxed geometry. Source: Alexandria via LeMat-Bulk, functional PBE.

Properties
For the total moment, the calculation gives 0.00 Bohr magnetons per cell. For the formation enthalpy at 0 K, the calculation gives -0.1596 eV/atom. As for the offset from the most stable computed form: 0.000 eV/atom. The symmetry is P4/mmm, No. 123.

Lattice parameters (Å, degrees): 4.8515 4.8515 5.3741 90.00 90.00 90.00
Closest atoms and distances in Å follow each position.
Fractional coordinates of all 5 atoms:
1 Tl 0.5000 0.5000 0.5000  4 Hg 3.43, 8 Ga 3.62
2 Hg 0.0000 0.0000 0.5000  2 Pt 2.69
3 Ga 0.0000 0.5000 0.0000  2 Pt 2.43
4 Pt 0.0000 0.0000 0.0000  4 Ga 2.43, 2 Hg 2.69
5 Ga 0.5000 0.0000 0.0000  2 Pt 2.43